Record 1
Below is a geometry-optimized KGaSe2 structure, with properties calculated at the PBE level.

a = 10.875 Å, b = 10.875 Å, c = 5.416 Å
α = 90.00°, β = 90.00°, γ = 154.80°
Positions (direct):
K: 0.669 0.331 0.750
Se: 0.171 0.829 0.250
Se: 0.951 0.049 0.250
K: 0.331 0.669 0.250
Se: 0.829 0.171 0.750
Ga: 0.937 0.063 0.750
Ga: 0.063 0.937 0.250
Se: 0.049 0.951 0.750

Uncorrected formation energy in meV/atom: -691
Mass density in g/cm³: 3.249

Record 2
Below is a geometry-optimized KGaSe2 structure, with properties calculated at the PBE level.

a = 7.877 Å, b = 7.877 Å, c = 7.877 Å
α = 40.17°, β = 40.17°, γ = 40.17°
Positions (direct):
Se: 0.102 0.102 0.102
Ga: 0.000 0.000 0.000
K: 0.500 0.500 0.500
Se: 0.898 0.898 0.898

Uncorrected formation energy in meV/atom: -652
Mass density in g/cm³: 2.417

Record 3
Below is a geometry-optimized KGa2Se3 structure, with properties calculated at the PBE level.

a = 4.556 Å, b = 7.644 Å, c = 12.100 Å
α = 112.05°, β = 100.85°, γ = 90.00°
Positions (direct):
Se: 0.595 0.369 0.189
Se: 0.405 0.631 0.811
Ga: 0.700 0.378 0.400
Ga: 0.056 0.198 0.112
Se: 0.225 0.271 0.450
Ga: 0.944 0.802 0.888
Se: 0.946 0.123 0.892
Ga: 0.300 0.622 0.600
Se: 0.775 0.729 0.550
K: 0.644 0.841 0.288
Se: 0.054 0.877 0.108
K: 0.356 0.159 0.712

Uncorrected formation energy in meV/atom: -692
Mass density in g/cm³: 3.607

Record 4
Below is a geometry-optimized K2GaSe2 structure, with properties calculated at the PBE level.

a = 7.873 Å, b = 7.873 Å, c = 4.826 Å
α = 90.00°, β = 90.00°, γ = 90.00°
Positions (direct):
Ga: 0.500 0.500 0.000
Se: 0.817 0.683 0.000
Se: 0.683 0.183 0.000
Se: 0.317 0.817 0.000
K: 0.137 0.637 0.500
K: 0.363 0.137 0.500
K: 0.863 0.363 0.500
Se: 0.183 0.317 0.000
Ga: 0.000 0.000 0.000
K: 0.637 0.863 0.500

Uncorrected formation energy in meV/atom: -644
Mass density in g/cm³: 3.396

Record 5
Below is a geometry-optimized KGaSe3 structure, with properties calculated at the PBE level.

a = 5.144 Å, b = 5.144 Å, c = 5.144 Å
α = 90.00°, β = 90.00°, γ = 90.00°
Positions (direct):
Se: 0.500 0.000 0.000
K: 0.500 0.500 0.500
Se: 0.000 0.500 0.000
Ga: 0.000 0.000 0.000
Se: 0.000 0.000 0.500

Uncorrected formation energy in meV/atom: -307
Mass density in g/cm³: 4.218

Record 6
Below is a geometry-optimized KGaSe2 structure, with properties calculated at the PBE level.

a = 10.217 Å, b = 10.217 Å, c = 6.841 Å
α = 90.00°, β = 90.00°, γ = 157.94°
Positions (direct):
K: 0.932 0.068 0.750
K: 0.068 0.932 0.250
Se: 0.214 0.786 0.250
Se: 0.098 0.902 0.750
Ga: 0.675 0.325 0.750
Ga: 0.325 0.675 0.250
Se: 0.786 0.214 0.750
Se: 0.902 0.098 0.250

Uncorrected formation energy in meV/atom: -515
Mass density in g/cm³: 3.303

Record 7
Below is a geometry-optimized K2SmGaSe4 structure, with properties calculated at the PBE level.

a = 8.615 Å, b = 8.615 Å, c = 8.794 Å
α = 120.05°, β = 120.05°, γ = 91.63°
Positions (direct):
Se: 0.246 0.714 0.478
K: 0.500 0.500 0.000
Se: 0.259 0.276 0.468
Ga: 0.000 0.000 0.000
Ga: 0.500 0.500 0.500
Se: 0.741 0.724 0.532
Sm: 0.000 0.500 0.000
K: 0.500 0.000 0.500
Sm: 0.000 0.500 0.500
Se: 0.224 0.241 0.032
K: 0.000 0.000 0.500
Se: 0.754 0.286 0.522
Se: 0.786 0.254 0.022
Se: 0.776 0.759 0.968
K: 0.500 0.000 0.000
Se: 0.214 0.746 0.978

Uncorrected formation energy in meV/atom: -1151
Mass density in g/cm³: 4.495

Record 8
Below is a geometry-optimized K3Sm3GaSe8 structure, with properties calculated at the PBE level.

a = 8.343 Å, b = 8.347 Å, c = 9.265 Å
α = 116.80°, β = 90.00°, γ = 119.98°
Positions (direct):
Sm: 0.500 0.500 0.500
Se: 0.737 0.474 0.710
K: 0.000 0.000 0.000
Se: 0.263 0.526 0.290
K: 0.500 0.500 0.000
K: 0.000 0.500 0.000
Sm: 0.000 0.500 0.500
Ga: 0.000 0.000 0.500
Se: 0.220 0.975 0.695
Se: 0.780 0.025 0.305
Se: 0.244 0.024 0.305
Se: 0.756 0.976 0.695
Se: 0.781 0.562 0.305
Se: 0.219 0.438 0.695
Sm: 0.500 0.000 0.500

Uncorrected formation energy in meV/atom: -1375
Mass density in g/cm³: 4.419

Record 9
Below is a geometry-optimized KGa2SnSe6 structure, with properties calculated at the PBE level.

a = 8.272 Å, b = 9.662 Å, c = 9.662 Å
α = 84.74°, β = 66.70°, γ = 66.70°
Positions (direct):
Sn: 0.250 0.160 0.840
Se: 0.569 0.105 0.613
Sn: 0.750 0.840 0.160
Ga: 0.572 0.243 0.390
Ga: 0.428 0.757 0.610
Se: 0.197 0.653 0.568
Se: 0.175 0.922 0.830
Se: 0.325 0.170 0.078
Se: 0.069 0.613 0.105
Se: 0.825 0.078 0.170
Se: 0.303 0.432 0.347
Se: 0.931 0.387 0.895
Se: 0.803 0.347 0.432
K: 0.250 0.824 0.176
Se: 0.431 0.895 0.387
Se: 0.697 0.568 0.653
Se: 0.675 0.830 0.922
Ga: 0.928 0.610 0.757
K: 0.750 0.176 0.824
Ga: 0.072 0.390 0.243

Uncorrected formation energy in meV/atom: -496
Mass density in g/cm³: 3.943

Record 10
Below is a geometry-optimized KGaSn2Se6 structure, with properties calculated at the PBE level.

a = 7.655 Å, b = 10.041 Å, c = 10.041 Å
α = 80.86°, β = 66.18°, γ = 66.18°
Positions (direct):
Se: 0.186 0.351 0.410
Sn: 0.937 0.628 0.813
Se: 0.078 0.625 0.088
Sn: 0.063 0.372 0.187
Se: 0.625 0.837 0.974
Sn: 0.437 0.813 0.628
Se: 0.422 0.912 0.375
Sn: 0.563 0.187 0.372
Se: 0.922 0.375 0.912
Se: 0.578 0.088 0.625
Ga: 0.750 0.836 0.164
Se: 0.375 0.163 0.026
Se: 0.314 0.590 0.649
K: 0.250 0.688 0.312
K: 0.750 0.312 0.688
Ga: 0.250 0.164 0.836
Se: 0.875 0.026 0.163
Se: 0.125 0.974 0.837
Se: 0.686 0.410 0.351
Se: 0.814 0.649 0.590

Uncorrected formation energy in meV/atom: -546
Mass density in g/cm³: 4.216

Record 11
Below is a geometry-optimized KGaSnSe3 structure, with properties calculated at the PBE level.

a = 4.189 Å, b = 9.562 Å, c = 10.371 Å
α = 101.04°, β = 90.00°, γ = 90.00°
Positions (direct):
Sn: 0.250 0.622 0.146
K: 0.250 0.159 0.177
Se: 0.750 0.876 0.156
Se: 0.250 0.124 0.844
K: 0.750 0.841 0.823
Ga: 0.250 0.083 0.616
Sn: 0.750 0.378 0.854
Se: 0.750 0.169 0.509
Se: 0.750 0.404 0.119
Se: 0.250 0.831 0.491
Se: 0.250 0.596 0.881
Ga: 0.750 0.917 0.384

Uncorrected formation energy in meV/atom: -712
Mass density in g/cm³: 3.782

Record 12
Below is a geometry-optimized K2GaSnSe4 structure, with properties calculated at the PBE level.

a = 6.533 Å, b = 7.876 Å, c = 12.380 Å
α = 83.72°, β = 74.70°, γ = 65.50°
Positions (direct):
Se: 0.518 0.295 0.614
Sn: 0.750 0.500 0.500
Se: 0.563 0.205 0.114
Sn: 0.000 0.000 0.000
K: 0.935 0.500 0.129
Se: 0.324 0.795 0.114
Ga: 0.250 0.500 0.500
K: 0.565 0.500 0.871
Se: 0.232 0.205 0.886
Se: 0.426 0.705 0.386
Se: 0.187 0.295 0.386
K: 0.815 0.000 0.371
Se: 0.868 0.705 0.614
Ga: 0.500 0.000 0.000
K: 0.185 0.000 0.629
Se: 0.882 0.795 0.886

Uncorrected formation energy in meV/atom: -730
Mass density in g/cm³: 3.460

Record 13
Below is a geometry-optimized KSr2GaSe4 structure, with properties calculated at the PBE level.

a = 8.795 Å, b = 8.835 Å, c = 8.116 Å
α = 117.66°, β = 117.16°, γ = 86.27°
Positions (direct):
Sr: 0.996 0.004 0.357
Se: 0.659 0.308 0.435
Se: 0.345 0.688 0.466
Sr: 0.504 0.497 0.143
K: 0.028 0.528 0.528
Se: 0.188 0.844 0.066
Se: 0.186 0.178 0.863
Ga: 0.999 0.001 0.884
Se: 0.808 0.159 0.032
K: 0.975 0.475 0.975
Se: 0.322 0.315 0.637
Sr: 0.538 0.038 0.538
Sr: 0.459 0.959 0.959
Ga: 0.501 0.499 0.616
Se: 0.815 0.822 0.500
Se: 0.678 0.686 0.000

Uncorrected formation energy in meV/atom: -1410
Mass density in g/cm³: 4.080

Record 14
Below is a geometry-optimized KTaGa2Se structure, with properties calculated at the PBE level.

a = 5.162 Å, b = 5.341 Å, c = 5.162 Å
α = 90.00°, β = 90.00°, γ = 90.00°
Positions (direct):
Se: 0.000 0.500 0.000
K: 0.000 0.000 0.000
Ga: 0.000 0.000 0.500
Ta: 0.500 0.500 0.500
Ga: 0.500 0.000 0.000

Uncorrected formation energy in meV/atom: 1743
Mass density in g/cm³: 5.115

Record 15
Below is a geometry-optimized K2TbGaSe4 structure, with properties calculated at the PBE level.

a = 8.579 Å, b = 8.579 Å, c = 8.690 Å
α = 120.36°, β = 120.36°, γ = 91.10°
Positions (direct):
Se: 0.755 0.289 0.522
K: 0.500 0.000 0.000
Se: 0.245 0.711 0.478
Se: 0.238 0.259 0.045
Se: 0.759 0.738 0.545
Se: 0.762 0.741 0.955
Ga: 0.000 0.000 0.000
Se: 0.211 0.745 0.978
K: 0.000 0.000 0.500
Se: 0.241 0.262 0.455
Tb: 0.000 0.500 0.500
Se: 0.789 0.255 0.022
K: 0.500 0.500 0.000
Tb: 0.000 0.500 0.000
K: 0.500 0.000 0.500
Ga: 0.500 0.500 0.500

Uncorrected formation energy in meV/atom: -1158
Mass density in g/cm³: 4.672

Record 16
Below is a geometry-optimized KGaTe2Se6 structure, with properties calculated at the PBE level.

a = 9.357 Å, b = 9.881 Å, c = 9.881 Å
α = 106.07°, β = 73.46°, γ = 73.46°
Positions (direct):
Se: 0.507 0.749 0.275
Se: 0.493 0.251 0.725
Te: 0.850 0.518 0.701
Se: 0.979 0.335 0.374
Se: 0.521 0.626 0.665
Se: 0.021 0.665 0.626
Ga: 0.250 0.200 0.800
Se: 0.007 0.275 0.749
K: 0.250 0.911 0.089
Te: 0.650 0.299 0.482
Se: 0.684 0.773 0.973
Se: 0.184 0.973 0.773
Te: 0.350 0.701 0.518
Te: 0.150 0.482 0.299
Se: 0.479 0.374 0.335
Se: 0.816 0.027 0.227
Ga: 0.750 0.800 0.200
K: 0.750 0.089 0.911
Se: 0.993 0.725 0.251
Se: 0.316 0.227 0.027

Uncorrected formation energy in meV/atom: -236
Mass density in g/cm³: 3.598

Record 17
Below is a geometry-optimized K2GaTeSe4 structure, with properties calculated at the PBE level.

a = 7.046 Å, b = 8.424 Å, c = 11.359 Å
α = 82.55°, β = 71.93°, γ = 65.28°
Positions (direct):
Se: 0.882 0.719 0.590
K: 0.575 0.500 0.850
Se: 0.559 0.219 0.090
K: 0.825 0.000 0.350
Ga: 0.500 0.000 0.000
Se: 0.399 0.719 0.410
Se: 0.528 0.281 0.590
Se: 0.868 0.781 0.910
Te: 0.750 0.500 0.500
K: 0.925 0.500 0.150
Se: 0.222 0.219 0.910
Se: 0.191 0.281 0.410
Ga: 0.250 0.500 0.500
Se: 0.351 0.781 0.090
Te: 0.000 0.000 0.000
K: 0.175 0.000 0.650

Uncorrected formation energy in meV/atom: -569
Mass density in g/cm³: 3.373

Record 18
Below is a geometry-optimized KGaTeSe4 structure, with properties calculated at the PBE level.

a = 6.822 Å, b = 7.318 Å, c = 9.201 Å
α = 90.00°, β = 107.94°, γ = 90.00°
Positions (direct):
Se: 0.524 0.250 0.812
Ga: 0.234 0.750 0.330
Ga: 0.766 0.250 0.670
Se: 0.997 0.006 0.286
Se: 0.526 0.250 0.413
Te: 0.222 0.250 0.530
Te: 0.778 0.750 0.470
Se: 0.997 0.494 0.286
K: 0.748 0.750 0.944
K: 0.252 0.250 0.056
Se: 0.003 0.506 0.714
Se: 0.003 0.994 0.714
Se: 0.476 0.750 0.188
Se: 0.474 0.750 0.587

Uncorrected formation energy in meV/atom: -452
Mass density in g/cm³: 4.196

Record 19
Below is a geometry-optimized K2TiGaSe4 structure, with properties calculated at the PBE level.

a = 6.483 Å, b = 7.599 Å, c = 12.215 Å
α = 83.50°, β = 74.61°, γ = 64.75°
Site moments in Bohr magnetons follow the coordinates.
Positions (direct):
Se: 0.466 0.697 0.391  0.00
Se: 0.143 0.303 0.391  0.00
K: 0.181 0.000 0.638  0.00
K: 0.569 0.500 0.862  0.00
Se: 0.838 0.697 0.609  0.00
Se: 0.284 0.803 0.109  0.00
K: 0.819 0.000 0.362  0.00
Se: 0.196 0.197 0.891  0.00
Ga: 0.250 0.500 0.500  0.02
Se: 0.554 0.303 0.609  0.00
Ti: 0.750 0.500 0.500  0.14
Se: 0.912 0.803 0.891  0.00
Ga: 0.500 0.000 0.000  0.02
K: 0.931 0.500 0.138  0.00
Ti: 0.000 0.000 0.000  0.14
Se: 0.607 0.197 0.109  0.00

Uncorrected formation energy in meV/atom: -1015
Mass density in g/cm³: 3.238